Record 1
The following is a PBE calculation of a geometry-optimized LiVCuRu structure, from Alexandria via LeMat-Bulk.

## Properties
Space-group type: F-43m
Theoretical density, Mg/m³: 7.25
E_form, eV/atom: 0.045
Size of the total moment, μB/cell: 0.573

a = 4.161 Å, b = 4.161 Å, c = 4.161 Å
α = 60.00°, β = 60.00°, γ = 60.00°
Fractional positions:
1 Li 0.000 0.000 0.000
2 V 0.500 0.500 0.500
3 Cu 0.750 0.750 0.750
4 Ru 0.250 0.250 0.250



Record 2
The following is a PBE calculation of a geometry-optimized CrSiAs structure, from Alexandria via LeMat-Bulk.

## Properties
Space-group type: P3m1
Formation energy without anion corrections, eV per atom: 0.009
Theoretical density, Mg/m³: 5.62
Size of the total moment, μB/cell: 0.001

a = 3.075 Å, b = 3.075 Å, c = 5.594 Å
α = 90.00°, β = 90.00°, γ = 120.00°
Fractional positions:
1 Cr 0.000 0.000 0.000
2 Si 0.333 0.667 0.713
3 As 0.333 0.667 0.286



Record 3
The following is a PBE calculation of a geometry-optimized Sb3PtPb structure, from Alexandria via LeMat-Bulk.

## Properties
Space-group type: Pm-3m
Formation energy without anion corrections, eV per atom: 1.469
Theoretical density, Mg/m³: 7.10
Relative energy among the computed polymorphs, eV/f.u.: 6.03
Size of the total moment, μB/cell: 0.000

a = 5.640 Å, b = 5.640 Å, c = 5.640 Å
α = 90.00°, β = 90.00°, γ = 90.00°
Fractional positions:
1 Sb 0.000 0.000 0.500
2 Sb 0.000 0.500 0.000
3 Sb 0.500 0.000 0.000
4 Pt 0.500 0.500 0.500
5 Pb 0.000 0.000 0.000



Record 4
The following is a PBE calculation of a geometry-optimized LaSmCuRu structure, from Alexandria via LeMat-Bulk.

## Properties
Space-group type: Amm2
Theoretical density, Mg/m³: 8.06
Relative energy among the computed polymorphs, eV/f.u.: 0.00
E_form, eV/atom: -0.227
Size of the total moment, μB/cell: 0.000

a = 4.229 Å, b = 5.847 Å, c = 5.847 Å
α = 40.28°, β = 90.00°, γ = 90.00°
Fractional positions:
1 La 0.000 0.000 0.000
2 Sm 0.500 0.276 0.276
3 Cu 0.000 0.711 0.711
4 Ru 0.500 0.563 0.563



Record 5
The following is a PBE calculation of a geometry-optimized PmZrBi2 structure, from Alexandria via LeMat-Bulk.

## Properties
Space-group type: R-3m
Theoretical density, Mg/m³: 9.13
Relative energy among the computed polymorphs, eV/f.u.: 2.33
E_form, eV/atom: 0.022
Size of the total moment, μB/cell: 0.001

a = 11.826 Å, b = 11.826 Å, c = 11.826 Å
α = 16.69°, β = 16.69°, γ = 16.69°
Fractional positions:
1 Pm 0.000 0.000 0.000
2 Zr 0.500 0.500 0.500
3 Bi 0.413 0.413 0.413
4 Bi 0.587 0.587 0.587



Record 6
The following is a PBE calculation of a geometry-optimized Na3Dy2ErS6 structure, from Alexandria via LeMat-Bulk.

## Properties
Space-group type: C2/m
Formation energy without anion corrections, eV per atom: -1.851
Theoretical density, Mg/m³: 4.57
Size of the total moment, μB/cell: 0.000

a = 6.881 Å, b = 6.881 Å, c = 7.064 Å
α = 99.34°, β = 99.34°, γ = 120.00°
Fractional positions:
1 Na 0.000 0.000 0.000
2 Na 0.333 0.667 0.000
3 Na 0.667 0.333 0.000
4 Dy 0.167 0.833 0.500
5 Dy 0.833 0.167 0.500
6 Er 0.500 0.500 0.500
7 S 0.093 0.425 0.274
8 S 0.244 0.244 0.726
9 S 0.425 0.093 0.274
10 S 0.575 0.907 0.726
11 S 0.756 0.756 0.274
12 S 0.907 0.575 0.726